{
  "formula": "LiP2SCl",
  "functional": "PBEsol",
  "state": "optimized geometry",
  "lattice": [[4.497, 0.000, 0.000], [0.000, 4.497, 0.000], [0.000, 0.000, 4.122]],
  "species": ["Li", "P", "P", "S", "Cl"],
  "frac_coords": [[0.000, 0.000, 0.000], [0.000, 0.500, 0.000], [0.500, 0.000, 0.000], [0.000, 0.000, 0.500], [0.500, 0.500, 0.500]],
  "energy_ha_per_atom": -0.1187,
  "magnetic_moment_mub_per_cell": 0.00,
  "sg": "P4/mmm, No. 123",
  "e_form_raw_ev_per_fu": 3.8
}